A relaxed structure of Cr2Fe2Cl. Source: Alexandria, functional GGA-PBE.

Summary:
Raw formation energy in eV/atom: 0.61
Space-group type: No. 127
Calculated density in Mg/m³: 6.59
Final energy in eV per atom: -7.00

a = 6.8615 Å, b = 6.8615 Å, c = 2.6888 Å
α = 90.00°, β = 90.00°, γ = 90.00°
Closest atoms and distances in Å follow each position.
Atoms (fractional coordinates):
Cr: 0.1430 0.3570 0.0000  6 Fe 2.36-2.50
Cr: 0.3570 0.8570 0.0000  6 Fe 2.36-2.50
Cr: 0.6430 0.1430 0.0000  6 Fe 2.36-2.50
Cr: 0.8570 0.6430 0.0000  6 Fe 2.36-2.50
Fe: 0.1399 0.6399 0.5000  6 Cr 2.36-2.50
Fe: 0.3601 0.1399 0.5000  6 Cr 2.36-2.50
Fe: 0.6399 0.8601 0.5000  6 Cr 2.36-2.50
Fe: 0.8601 0.3601 0.5000  6 Cr 2.36-2.50
Cl: 0.0000 0.0000 0.5000  4 Fe 2.65, 2 Cl 2.69, 8 Cr 2.96
Cl: 0.5000 0.5000 0.5000  4 Fe 2.65, 2 Cl 2.69, 8 Cr 2.96